MnS2O: optimized geometry, PBE with a Hubbard U.

As for the electronic total energy: -4.25 eV per atom. Its space group is No. 166.

a b c (Å): 7.633 7.633 7.633
angles (deg): 24.43 24.43 24.43
Site moments in Bohr magnetons follow the coordinates.
Atoms (fractional coordinates):
S1 0.898 0.898 0.898  -0.26
S2 0.102 0.102 0.102  -0.26
Mn1 0.000 0.000 0.000  4.20
O1 0.500 0.500 0.500  -0.37